(1)
# Tb7Dy16Tm6 (GGA-PBE, relaxed)
data_Tb7Dy16Tm6
_space_group_name_H-M_alt 'P 1'
_space_group_IT_number 1
_space_group_name_Hall 'P 1'
_cell_length_a 11.0462
_cell_length_b 11.0462
_cell_length_c 11.0462
_cell_angle_alpha 60.00
_cell_angle_beta 60.00
_cell_angle_gamma 60.00
loop_
_atom_site_label
_atom_site_type_symbol
_atom_site_fract_x
_atom_site_fract_y
_atom_site_fract_z
Dy1 Dy 0.1239 0.1239 0.6283
Dy2 Dy 0.3717 0.8761 0.8761
Dy3 Dy 0.8761 0.3717 0.8761
Dy4 Dy 0.8761 0.8761 0.3717
Dy5 Dy 0.6506 0.6506 0.6506
Dy6 Dy 0.1239 0.6283 0.1239
Dy7 Dy 0.6506 0.6506 0.0481
Dy8 Dy 0.8761 0.8761 0.8761
Dy9 Dy 0.0481 0.6506 0.6506
Dy10 Dy 0.9519 0.3494 0.3494
Dy11 Dy 0.6283 0.1239 0.1239
Dy12 Dy 0.3494 0.3494 0.9519
Dy13 Dy 0.1239 0.1239 0.1239
Dy14 Dy 0.3494 0.9519 0.3494
Dy15 Dy 0.3494 0.3494 0.3494
Dy16 Dy 0.6506 0.0481 0.6506
Tm1 Tm 0.2711 0.7289 0.2711
Tm2 Tm 0.7289 0.2711 0.7289
Tm3 Tm 0.7289 0.7289 0.2711
Tm4 Tm 0.2711 0.2711 0.7289
Tm5 Tm 0.2711 0.7289 0.7289
Tm6 Tm 0.7289 0.2711 0.2711
Tb1 Tb 0.0000 0.0000 0.0000
Tb2 Tb 0.0000 0.5000 0.5000
Tb3 Tb 0.5000 0.0000 0.0000
Tb4 Tb 0.5000 0.5000 0.0000
Tb5 Tb 0.0000 0.0000 0.5000
Tb6 Tb 0.5000 0.0000 0.5000
Tb7 Tb 0.0000 0.5000 0.0000
# space-group type	No. 225
# formation energy from the elements	0.25	eV per atom



(2)
# Zr2SnP2 (GGA-PBE, relaxed)
data_Zr2SnP2
_space_group_name_H-M_alt 'P 1'
_space_group_IT_number 1
_space_group_name_Hall 'P 1'
_cell_length_a 7.5516
_cell_length_b 7.5516
_cell_length_c 3.4314
_cell_angle_alpha 90.00
_cell_angle_beta 90.00
_cell_angle_gamma 90.00
loop_
_atom_site_label
_atom_site_type_symbol
_atom_site_fract_x
_atom_site_fract_y
_atom_site_fract_z
Zr1 Zr 0.8495 0.6505 0.0000
Zr2 Zr 0.1505 0.3495 0.0000
Zr3 Zr 0.3495 0.8495 0.0000
Zr4 Zr 0.6505 0.1505 0.0000
P1 P 0.6398 0.8602 0.5000
P2 P 0.3602 0.1398 0.5000
P3 P 0.1398 0.6398 0.5000
P4 P 0.8602 0.3602 0.5000
Sn1 Sn 0.0000 0.0000 0.0000
Sn2 Sn 0.5000 0.5000 0.0000
# polymorph energy (0 for the lowest one)	0.004	eV/atom
# space-group type	No. 127
# formation energy from the elements	-0.72	eV per atom



(3)
# CdNi2Sb (GGA-PBE, relaxed)
data_CdNi2Sb
_space_group_name_H-M_alt 'P 1'
_space_group_IT_number 1
_space_group_name_Hall 'P 1'
_cell_length_a 4.5517
_cell_length_b 4.5517
_cell_length_c 4.5517
_cell_angle_alpha 60.00
_cell_angle_beta 60.00
_cell_angle_gamma 60.00
loop_
_atom_site_label
_atom_site_type_symbol
_atom_site_fract_x
_atom_site_fract_y
_atom_site_fract_z
Ni1 Ni 0.0000 0.0000 0.0000
Ni2 Ni 0.2500 0.2500 0.2500
Cd1 Cd 0.5000 0.5000 0.5000
Sb1 Sb 0.7500 0.7500 0.7500
# space-group type	No. 216
# final energy	-15.4	eV/cell



(4)
# CaSi2Ni (GGA-PBE, relaxed)
data_CaSi2Ni
_space_group_name_H-M_alt 'P 1'
_space_group_IT_number 1
_space_group_name_Hall 'P 1'
_cell_length_a 4.9555
_cell_length_b 4.9555
_cell_length_c 4.9555
_cell_angle_alpha 132.02
_cell_angle_beta 132.02
_cell_angle_gamma 70.20
loop_
_atom_site_label
_atom_site_type_symbol
_atom_site_fract_x
_atom_site_fract_y
_atom_site_fract_z
Si1 Si 0.0000 0.0000 0.0000
Si2 Si 0.2500 0.7500 0.5000
Ca1 Ca 0.5000 0.5000 0.0000
Ni1 Ni 0.7500 0.2500 0.5000
# space-group type	No. 119
# final energy	-18.3	eV/cell



(5)
# La2TmTe2S2 (GGA-PBE, relaxed)
data_La2TmTe2S2
_space_group_name_H-M_alt 'P 1'
_space_group_IT_number 1
_space_group_name_Hall 'P 1'
_cell_length_a 5.0379
_cell_length_b 5.0379
_cell_length_c 8.8998
_cell_angle_alpha 106.44
_cell_angle_beta 106.44
_cell_angle_gamma 90.00
loop_
_atom_site_label
_atom_site_type_symbol
_atom_site_fract_x
_atom_site_fract_y
_atom_site_fract_z
S1 S 0.5000 0.0000 0.0000
S2 S 0.0000 0.5000 0.0000
Te1 Te 0.1832 0.1832 0.3663
Te2 Te 0.8168 0.8168 0.6337
La1 La 0.6173 0.6173 0.2346
La2 La 0.3827 0.3827 0.7654
Tm1 Tm 0.0000 0.0000 0.0000
# space-group type	No. 139
# final energy	-40.7	eV/cell



(6)
# Pr5Si2Ag (GGA-PBE, relaxed)
data_Pr5Si2Ag
_space_group_name_H-M_alt 'P 1'
_space_group_IT_number 1
_space_group_name_Hall 'P 1'
_cell_length_a 7.7723
_cell_length_b 7.7723
_cell_length_c 9.3502
_cell_angle_alpha 114.56
_cell_angle_beta 114.56
_cell_angle_gamma 90.00
loop_
_atom_site_label
_atom_site_type_symbol
_atom_site_fract_x
_atom_site_fract_y
_atom_site_fract_z
Pr1 Pr 0.6852 0.1852 0.7195
Pr2 Pr 0.1852 0.0343 0.7195
Pr3 Pr 0.5000 0.5000 0.0000
Pr4 Pr 0.0000 0.0000 0.0000
Pr5 Pr 0.8148 0.9657 0.2805
Pr6 Pr 0.5343 0.6852 0.7195
Pr7 Pr 0.0343 0.5343 0.7195
Pr8 Pr 0.9657 0.4657 0.2805
Pr9 Pr 0.3147 0.8148 0.2805
Pr10 Pr 0.4657 0.3147 0.2805
Si1 Si 0.3856 0.8856 0.0000
Si2 Si 0.8856 0.6144 0.0000
Si3 Si 0.1144 0.3856 0.0000
Si4 Si 0.6144 0.1144 0.0000
Ag1 Ag 0.7500 0.7500 0.5000
Ag2 Ag 0.2500 0.2500 0.5000
# space-group type	No. 140
# final energy	-82.1	eV/cell



(7)
# Ho2TaSi3Ir4 (GGA-PBE, relaxed)
data_Ho2TaSi3Ir4
_space_group_name_H-M_alt 'P 1'
_space_group_IT_number 1
_space_group_name_Hall 'P 1'
_cell_length_a 4.0900
_cell_length_b 4.0900
_cell_length_c 10.4632
_cell_angle_alpha 90.00
_cell_angle_beta 90.00
_cell_angle_gamma 90.00
loop_
_atom_site_label
_atom_site_type_symbol
_atom_site_fract_x
_atom_site_fract_y
_atom_site_fract_z
Ta1 Ta 0.5000 0.5000 0.5000
Ir1 Ir 0.5000 0.5000 0.0000
Ir2 Ir 0.0000 0.5000 0.3549
Ir3 Ir 0.5000 0.0000 0.6451
Ir4 Ir 0.0000 0.0000 0.0000
Si1 Si 0.5000 0.0000 0.8740
Si2 Si 0.0000 0.0000 0.5000
Si3 Si 0.0000 0.5000 0.1260
Ho1 Ho 0.5000 0.0000 0.2354
Ho2 Ho 0.0000 0.5000 0.7646
# space-group type	No. 115
# final energy	-82.4	eV/cell



(8)
# CoOsRh2 (GGA-PBE, relaxed)
data_CoOsRh2
_space_group_name_H-M_alt 'P 1'
_space_group_IT_number 1
_space_group_name_Hall 'P 1'
_cell_length_a 2.6611
_cell_length_b 2.6611
_cell_length_c 9.0182
_cell_angle_alpha 90.00
_cell_angle_beta 90.00
_cell_angle_gamma 118.98
loop_
_atom_site_label
_atom_site_type_symbol
_atom_site_fract_x
_atom_site_fract_y
_atom_site_fract_z
Co1 Co 0.5000 0.5000 0.2500
Rh1 Rh 0.0000 0.0000 0.0087
Rh2 Rh 0.0000 0.0000 0.4913
Os1 Os 0.5000 0.5000 0.7500
# polymorph energy (0 for the lowest one)	0.277	eV/atom
# space-group type	No. 65
# formation energy from the elements	0.36	eV per atom



Magnetic moment across the listed records, respectively: 0.0; 0.0; 0.0; 0.0; 0.3; 0.0; 0.0; 2.4 μB per formula unit.